1.
{
  "formula": "LaAgBr3",
  "functional": "GGA-PBE",
  "state": "relaxed",
  "e_tot_ev_per_atom": -3.6134,
  "dos_at_fermi_per_ev_fu": 3.4,
  "raw_formation_energy_kj_per_mol_atoms": -102,
  "lattice_angstrom": [[5.864, 0.000, 0.000], [0.000, 5.864, 0.000], [0.000, 0.000, 5.864]],
  "species": ["La", "Ag", "Br", "Br", "Br"],
  "fractional_positions": [[0.000, 0.000, 0.000], [0.500, 0.500, 0.500], [0.000, 0.000, 0.500], [0.000, 0.500, 0.000], [0.500, 0.000, 0.000]]
}

---

2.
{
  "formula": "SrCr2GaIr",
  "functional": "GGA-PBE",
  "state": "relaxed",
  "ef_ev_per_fu": 12.5,
  "e_tot_ev_per_atom": -4.0604,
  "dos_at_fermi_per_ev_fu": 6.9,
  "lattice_angstrom": [[4.935, 0.000, 0.000], [0.000, 4.935, 0.000], [0.000, 0.000, 5.128]],
  "species": ["Sr", "Cr", "Cr", "Ga", "Ir"],
  "fractional_positions": [[0.000, 0.000, 0.000], [0.000, 0.500, 0.000], [0.500, 0.000, 0.000], [0.000, 0.000, 0.500], [0.500, 0.500, 0.500]]
}

---

3.
{
  "formula": "Pr6SmHo",
  "functional": "GGA-PBE",
  "state": "relaxed",
  "ef_ev_per_fu": 0.1,
  "e_tot_ev_per_atom": -4.7321,
  "dos_at_fermi_per_ev_fu": 13.9,
  "lattice_angstrom": [[5.203, 0.000, 0.000], [0.000, 5.203, 0.000], [0.000, 0.000, 10.406]],
  "species": ["Pr", "Pr", "Pr", "Pr", "Pr", "Pr", "Sm", "Ho"],
  "fractional_positions": [[0.000, 0.000, 0.000], [0.000, 0.000, 0.500], [0.000, 0.500, 0.248], [0.000, 0.500, 0.752], [0.500, 0.000, 0.248], [0.500, 0.000, 0.752], [0.500, 0.500, 0.500], [0.500, 0.500, 0.000]]
}

---

4.
{
  "formula": "ScHg2Se",
  "functional": "GGA-PBE",
  "state": "relaxed",
  "e_tot_ev_per_atom": -3.1256,
  "dos_at_fermi_per_ev_fu": 1.5,
  "raw_formation_energy_kj_per_mol_atoms": -50,
  "lattice_angstrom": [[-1.997, 1.997, 5.881], [1.997, -1.997, 5.881], [1.997, 1.997, -5.881]],
  "species": ["Sc", "Hg", "Hg", "Se"],
  "fractional_positions": [[0.000, 0.000, 0.000], [0.250, 0.750, 0.500], [0.750, 0.250, 0.500], [0.500, 0.500, 0.000]]
}